No. 1
Here is a relaxed structure of Pm4Dy5Tl from Alexandria. Energies are from PBE.

Cell and atoms, written as POSCAR:
```
Pm4Dy5Tl
1.0
-5.367 5.367 2.923
5.367 -5.367 2.923
5.367 5.367 -2.923
Pm Dy Tl
4 5 1
direct
0.000 0.313 0.313
0.000 0.687 0.687
0.313 0.000 0.313
0.687 0.000 0.687
0.198 0.198 0.000
0.307 0.307 0.630
0.307 0.676 0.000
0.676 0.307 0.000
0.676 0.676 0.370
0.716 0.716 0.000
```

- total moment (μB per cell) = 0.000
- energy of formation from the pure elements (kJ/mol of atoms) = 10.0
- Fermi-level density of states (states/eV/cell) = 14.31
- distance to the lowest polymorph of the same formula (eV/atom) = 0.145

No. 2
Here is a relaxed structure of ReNi2Te from Alexandria. Energies are from PBE.

Cell and atoms, written as POSCAR:
```
ReNi2Te
1.0
3.911 0.000 0.000
0.000 3.911 0.000
0.000 0.000 3.749
Re Ni Te
1 2 1
direct
0.000 0.000 0.000
0.000 0.500 0.500
0.500 0.000 0.500
0.500 0.500 0.000
```

- total moment (μB per cell) = 0.000
- Fermi-level density of states (states/eV/cell) = 5.72
- formation energy without anion corrections (eV/atom) = 0.438

No. 3
Here is a relaxed structure of NdPuAg2O8 from Alexandria. Energies are from PBE.

Cell and atoms, written as POSCAR:
```
NdPuAg2O8
1.0
-3.480 3.480 3.745
3.480 -3.480 3.745
3.480 3.480 -3.745
Nd Pu Ag O
1 1 2 8
direct
0.000 0.000 0.000
0.750 0.250 0.500
0.250 0.750 0.500
0.500 0.500 0.000
0.029 0.362 0.333
0.029 0.697 0.667
0.058 0.278 0.781
0.303 0.971 0.333
0.497 0.278 0.219
0.638 0.971 0.667
0.722 0.503 0.781
0.722 0.942 0.219
```

- total moment (μB per cell) = 0.250
- Fermi-level density of states (states/eV/cell) = 5.20
- formation energy without anion corrections (eV/atom) = -1.295

No. 4
Here is a relaxed structure of AlHgMo2 from Alexandria. Energies are from PBE.

Cell and atoms, written as POSCAR:
```
AlHgMo2
1.0
0.000 3.223 3.223
3.223 0.000 3.223
3.223 3.223 0.000
Al Hg Mo
1 1 2
direct
0.000 0.000 0.000
0.750 0.750 0.750
0.250 0.250 0.250
0.500 0.500 0.500
```

- total moment (μB per cell) = 0.000
- energy of formation from the pure elements (kJ/mol of atoms) = 35.7
- Fermi-level density of states (states/eV/cell) = 3.23
- distance to the lowest polymorph of the same formula (eV/atom) = 0.220

No. 5
Here is a relaxed structure of Pm2Pr4Sn3O2 from Alexandria. Energies are from PBE.

Cell and atoms, written as POSCAR:
```
Pm2Pr4Sn3O2
1.0
-2.428 2.428 12.998
2.428 -2.428 12.998
2.428 2.428 -12.998
Pm Pr Sn O
2 4 3 2
direct
0.195 0.195 0.000
0.805 0.805 0.000
0.083 0.583 0.500
0.417 0.917 0.500
0.583 0.083 0.500
0.917 0.417 0.500
0.321 0.321 0.000
0.500 0.500 0.000
0.679 0.679 0.000
0.104 0.104 0.000
0.896 0.896 0.000
```

- total moment (μB per cell) = 0.000
- Fermi-level density of states (states/eV/cell) = 5.02
- formation energy without anion corrections (eV/atom) = -1.454

No. 6
Here is a relaxed structure of Pb3IO from Alexandria. Energies are from PBE.

Cell and atoms, written as POSCAR:
```
Pb3IO
1.0
6.056 0.000 0.000
0.000 6.056 0.000
0.000 0.000 6.056
Pb I O
3 1 1
direct
0.000 0.000 0.500
0.000 0.500 0.000
0.500 0.000 0.000
0.000 0.000 0.000
0.500 0.500 0.500
```

- total moment (μB per cell) = 1.580
- Fermi-level density of states (states/eV/cell) = 4.02
- distance to the lowest polymorph of the same formula (eV/atom) = 1.192
- formation energy without anion corrections (eV/atom) = 1.037

No. 7
Here is a relaxed structure of MgCrMoS4 from Alexandria. Energies are from PBE.

Cell and atoms, written as POSCAR:
```
MgCrMoS4
1.0
-3.649 3.692 5.178
3.649 -3.692 5.178
3.649 3.692 -5.178
Mg Cr Mo S
2 2 2 8
direct
0.377 0.127 0.250
0.623 0.873 0.750
0.000 0.000 0.500
0.000 0.500 0.000
0.000 0.500 0.500
0.500 0.500 0.000
0.212 0.741 0.471
0.230 0.259 0.971
0.235 0.255 0.520
0.235 0.716 0.980
0.765 0.284 0.020
0.765 0.745 0.480
0.770 0.741 0.029
0.788 0.259 0.529
```

- total moment (μB per cell) = 11.932
- Fermi-level density of states (states/eV/cell) = 1.76
- formation energy without anion corrections (eV/atom) = -0.753

No. 8
Here is a relaxed structure of LaMgInGa from Alexandria. Energies are from PBE.

Cell and atoms, written as POSCAR:
```
LaMgInGa
1.0
0.000 3.688 3.688
3.688 0.000 3.688
3.688 3.688 0.000
La Mg In Ga
1 1 1 1
direct
0.000 0.000 0.000
0.500 0.500 0.500
0.250 0.250 0.250
0.750 0.750 0.750
```

- total moment (μB per cell) = 0.000
- energy of formation from the pure elements (kJ/mol of atoms) = -36.1
- Fermi-level density of states (states/eV/cell) = 2.70

No. 9
Here is a relaxed structure of Nd8Ni2Hg from Alexandria. Energies are from PBE.

Cell and atoms, written as POSCAR:
```
Nd8Ni2Hg
1.0
9.275 -2.631 0.000
9.275 2.631 0.000
-2.350 0.000 6.552
Nd Ni Hg
8 2 1
direct
0.034 0.034 0.279
0.197 0.197 0.850
0.318 0.318 0.489
0.404 0.404 0.014
0.596 0.596 0.986
0.682 0.682 0.511
0.803 0.803 0.150
0.966 0.966 0.721
0.171 0.171 0.230
0.829 0.829 0.770
0.500 0.500 0.500
```

- total moment (μB per cell) = 0.000
- energy of formation from the pure elements (kJ/mol of atoms) = -16.9
- Fermi-level density of states (states/eV/cell) = 10.22
- distance to the lowest polymorph of the same formula (eV/atom) = 0.000

No. 10
Here is a relaxed structure of Tb2Al5Ni2Rh from Alexandria. Energies are from PBE.

Cell and atoms, written as POSCAR:
```
Tb2Al5Ni2Rh
1.0
9.207 0.000 0.000
0.000 9.207 0.000
0.000 0.000 4.000
Tb Al Ni Rh
4 10 4 2
direct
0.182 0.318 0.000
0.318 0.818 0.000
0.682 0.182 0.000
0.818 0.682 0.000
0.000 0.500 0.500
0.058 0.796 0.500
0.204 0.058 0.500
0.296 0.558 0.500
0.442 0.296 0.500
0.500 0.000 0.500
0.558 0.704 0.500
0.704 0.442 0.500
0.796 0.942 0.500
0.942 0.204 0.500
0.112 0.612 0.000
0.388 0.112 0.000
0.612 0.888 0.000
0.888 0.388 0.000
0.000 0.000 0.000
0.500 0.500 0.000
```

- total moment (μB per cell) = 0.000
- energy of formation from the pure elements (kJ/mol of atoms) = -56.1
- Fermi-level density of states (states/eV/cell) = 14.38